Entry from Alexandria via LeMat-Bulk: an optimized crystal structure of YMn3 (GGA-PBEsol).

The space group is Pm-3m (No. 221) and the conventional cell measures 4.0223, 4.0223 and 4.0223 Å, with angles of 90.00, 90.00 and 90.00 degrees. The asymmetric unit holds Y at (0.0000, 0.0000, 0.0000) and Mn at (0.0000, 0.5000, 0.5000).

The calculation puts the mass density at 6.47 g cm⁻³. The energy of formation from the pure elements is 0.51 eV per atom.